[1]
A geometry-optimized Ba2YCr3O7 structure, computed with GGA-PBEsol.

Unit cell a=3.875 b=3.884 c=11.396 alpha=90.00 beta=90.00 gamma=90.00
Sites, in units of the cell vectors:
Ba: 0.000 0.000 0.178
Ba: 0.000 0.000 0.822
Y: 0.000 0.000 0.500
Cr: 0.500 0.500 0.000
Cr: 0.500 0.500 0.348
Cr: 0.500 0.500 0.652
O: 0.000 0.500 0.000
O: 0.000 0.500 0.377
O: 0.000 0.500 0.623
O: 0.500 0.000 0.377
O: 0.500 0.000 0.623
O: 0.500 0.500 0.174
O: 0.500 0.500 0.826

Computed properties:
For the density of states at the Fermi level, the calculation gives 5.7 states/eV per cell. As for the raw formation energy: -30.21 eV per formula unit. The value obtained for the energy is -8.369 eV per atom. Its symmetry is Pmmm.

---

[2]
A geometry-optimized ZrTeCl structure, computed with GGA-PBEsol.

Unit cell a=4.770 b=4.770 c=4.770 alpha=60.00 beta=60.00 gamma=60.00
Sites, in units of the cell vectors:
Zr: 0.000 0.000 0.000
Te: 0.750 0.750 0.750
Cl: 0.250 0.250 0.250

Computed properties:
For the density of states at the Fermi level, the calculation gives 4.2 states/eV per cell. As for the raw formation energy: -2.51 eV per formula unit. The value obtained for the energy is -5.710 eV per atom. Its symmetry is F-43m.

---

[3]
A geometry-optimized TiAl3I structure, computed with GGA-PBEsol.

Unit cell a=5.271 b=5.271 c=5.271 alpha=90.00 beta=90.00 gamma=90.00
Sites, in units of the cell vectors:
Ti: 0.000 0.000 0.000
Al: 0.000 0.500 0.500
Al: 0.500 0.000 0.500
Al: 0.500 0.500 0.000
I: 0.500 0.500 0.500

Computed properties:
For the density of states at the Fermi level, the calculation gives 5.2 states/eV per cell. As for the raw formation energy: 7.42 eV per formula unit. The value obtained for the energy is -2.990 eV per atom. Its symmetry is Pm-3m.

---

[4]
A geometry-optimized IrOsRh structure, computed with GGA-PBEsol.

Unit cell a=6.027 b=6.027 c=6.027 alpha=154.16 beta=154.16 gamma=36.86
Sites, in units of the cell vectors:
Ir: 0.000 0.000 0.000
Os: 0.662 0.662 0.000
Rh: 0.326 0.326 0.000

Computed properties:
For the energy relative to the elements, the calculation gives 0.00 eV per atom. For the density of states at the Fermi level, the calculation gives 2.6 states/eV per cell. The value obtained for the energy is -10.059 eV per atom. Its symmetry is I4mm.

---

[5]
A geometry-optimized NaGaPbC2 structure, computed with GGA-PBEsol.

Unit cell a=4.389 b=4.389 c=5.193 alpha=90.00 beta=90.00 gamma=90.00
Sites, in units of the cell vectors:
Na: 0.000 0.000 0.000
Ga: 0.500 0.500 0.500
Pb: 0.000 0.000 0.500
C: 0.000 0.500 0.000
C: 0.500 0.000 0.000

Computed properties:
For the energy relative to the elements, the calculation gives 2.64 eV per atom. For the density of states at the Fermi level, the calculation gives 3.1 states/eV per cell. The value obtained for the energy is -2.966 eV per atom. Its symmetry is P4/mmm.

---

[6]
A geometry-optimized Li3Mn4NiO8 structure, computed with GGA-PBEsol.

Unit cell a=5.824 b=5.824 c=5.936 alpha=120.42 beta=120.42 gamma=61.16
Sites, in units of the cell vectors:
Li: 0.000 0.000 0.000
Li: 0.000 0.500 0.000
Li: 0.500 0.000 0.000
Mn: 0.000 0.000 0.500
Mn: 0.000 0.500 0.500
Mn: 0.500 0.000 0.500
Mn: 0.500 0.500 0.000
Ni: 0.500 0.500 0.500
O: 0.242 0.739 0.739
O: 0.250 0.250 0.775
O: 0.251 0.251 0.291
O: 0.261 0.758 0.261
O: 0.739 0.242 0.739
O: 0.749 0.749 0.709
O: 0.750 0.750 0.225
O: 0.758 0.261 0.261

Computed properties:
For the density of states at the Fermi level, the calculation gives 4.1 states/eV per cell. As for the raw formation energy: -25.17 eV per formula unit. The value obtained for the energy is -7.391 eV per atom. Its symmetry is C2/m.